No. 1
LiGdTm2 | PBE-GGA | relaxed

Cell and atoms, written as POSCAR:
```
LiGdTm2
1.0
3.573 0.000 0.000
0.000 3.573 0.000
0.000 0.000 8.743
Li Gd Tm
1 1 2
direct
0.000 0.000 0.000 Li
0.000 0.000 0.500 Gd
0.500 0.500 0.219 Tm
0.500 0.500 0.781 Tm
```

Computed properties:
Formation energy ... 1.99 kcal/mol of atoms
Fermi-level density of states ... 5.46 states/eV/f.u.
Total magnetization ... 7.2 μB/f.u.
VASP energy ... -6.148 eV per atom
Excess energy over the best structure of this formula in the dataset ... 0.000 eV/atom

No. 2
Mn2TlZnP | PBE-GGA | relaxed

Cell and atoms, written as POSCAR:
```
Mn2TlZnP
1.0
5.210 0.000 0.000
0.000 5.210 0.000
0.000 0.000 5.109
Mn Tl Zn P
2 1 1 1
direct
0.000 0.500 0.000 Mn
0.500 0.000 0.000 Mn
0.000 0.000 0.000 Tl
0.500 0.500 0.500 Zn
0.000 0.000 0.500 P
```

Computed properties:
Formation energy ... 30.94 kcal/mol of atoms
Fermi-level density of states ... 3.01 states/eV/f.u.
Total magnetization ... 8.7 μB/f.u.
VASP energy ... -4.136 eV per atom

No. 3
CePrOs | PBE-GGA | relaxed

Cell and atoms, written as POSCAR:
```
CePrOs
1.0
4.236 0.000 0.000
-0.070 4.984 0.000
-0.008 -0.168 7.490
Ce Pr Os
2 2 2
direct
0.246 0.235 0.480 Ce
0.754 0.765 0.520 Ce
0.251 0.747 0.124 Pr
0.749 0.253 0.876 Pr
0.259 0.649 0.734 Os
0.741 0.351 0.266 Os
```

Computed properties:
Formation energy ... -1.72 kcal/mol of atoms
Fermi-level density of states ... 4.59 states/eV/f.u.
Total magnetization ... 0.0 μB/f.u.
VASP energy ... -7.389 eV per atom
Excess energy over the best structure of this formula in the dataset ... 0.014 eV/atom

No. 4
LiY2Zn | PBE-GGA | relaxed

Cell and atoms, written as POSCAR:
```
LiY2Zn
1.0
3.669 0.000 0.000
0.000 3.669 0.000
0.000 0.000 7.205
Li Y Zn
1 2 1
direct
0.000 0.000 0.000 Li
0.000 0.000 0.587 Y
0.500 0.500 0.262 Y
0.500 0.500 0.820 Zn
```

Computed properties:
Formation energy ... -1.63 kcal/mol of atoms
Fermi-level density of states ... 4.11 states/eV/f.u.
Total magnetization ... 0.7 μB/f.u.
VASP energy ... -4.100 eV per atom

Q: Among the records above, which one has the highest formation energy?
A: Mn2TlZnP

Q: Which value of formation energy does entry 4 give?
A: -1.63 kcal/mol of atoms

Repeat the fourth record exactly.
LiY2Zn | PBE-GGA | relaxed

Cell and atoms, written as POSCAR:
```
LiY2Zn
1.0
3.669 0.000 0.000
0.000 3.669 0.000
0.000 0.000 7.205
Li Y Zn
1 2 1
direct
0.000 0.000 0.000 Li
0.000 0.000 0.587 Y
0.500 0.500 0.262 Y
0.500 0.500 0.820 Zn
```

Computed properties:
Formation energy ... -1.63 kcal/mol of atoms
Fermi-level density of states ... 4.11 states/eV/f.u.
Total magnetization ... 0.7 μB/f.u.
VASP energy ... -4.100 eV per atom

Q: Among the records above, which one has the lowest formation energy?
A: CePrOs